DFT (PBE) results for crystalline CrRe2Hg at its relaxed geometry.

Summary:
ΔH_f (0 K): 0.727 eV per atom
Calculated total energy: -31.91 eV per cell

Unit cell a=4.9036 b=4.9036 c=4.9036 alpha=133.35 beta=133.35 gamma=68.11
Closest atoms and distances in Å follow each position.
Atoms (fractional coordinates):
Cr  0.2500  0.7500  0.5000  4 Hg 2.75, 8 Re 2.81
Re  0.5000  0.5000  0.0000  4 Re 2.75, 4 Cr 2.81, 4 Hg 2.81
Hg  0.7500  0.2500  0.5000  4 Cr 2.75, 8 Re 2.81
Re  0.0000  0.0000  0.0000  4 Re 2.75, 4 Hg 2.81, 4 Cr 2.81